Nd4PtCCl2: optimized geometry, GGA-PBE.

a b c (Å): 3.9185 7.4183 7.2558
angles (deg): 71.82 90.00 90.00
Closest atoms and distances in Å follow each position.
Atoms (fractional coordinates):
Nd 0.0000 0.7053 0.7365  1 C 2.63, 2 Pt 2.83
Nd 0.0000 0.2947 0.2635  1 C 2.63, 2 Pt 2.83
Nd 0.5000 0.7012 0.2909  2 C 2.64, 1 Pt 2.94
Nd 0.5000 0.2988 0.7091  2 C 2.64, 1 Pt 2.94
Pt 0.5000 0.5000 0.0000  6 Nd 2.83-2.94
C 0.0000 0.5000 0.5000  6 Nd 2.63-2.64
Cl 0.0000 0.0000 0.0000  6 Nd 3.21-3.32
Cl 0.5000 0.0000 0.5000  6 Nd 3.04-3.05

Computed properties:
Space group ... P2/m
ΔE_f (raw) ... -1082 meV/atom
V ... 200 Å³ per cell


NdPuCCl: optimized geometry, GGA-PBE.

a b c (Å): 3.6519 3.6525 7.5814
angles (deg): 90.00 103.92 120.04
Closest atoms and distances in Å follow each position.
Atoms (fractional coordinates):
Nd 0.5062 0.1510 0.6726  3 C 2.58
Pu 0.0948 0.9455 0.0555  3 C 2.48
C 0.3092 0.5526 0.8769  3 Pu 2.48, 3 Nd 2.58
Cl 0.9677 0.3817 0.3648  3 Nd 3.08, 3 Pu 3.08-3.09

Computed properties:
Space group ... R3m
ΔE_f (raw) ... -831 meV/atom
V ... 84 Å³ per cell